Computed, not measured: a geometry-optimized SeS3O structure at the PBE-GGA level of DFT.

Cell lengths 4.288, 4.288, 4.288 Å; angles 90.00, 90.00, 90.00 degrees
Fractional coordinates of all 5 atoms:
1 Se 0.000 0.000 0.000
2 S 0.000 0.500 0.500
3 S 0.500 0.000 0.500
4 S 0.500 0.500 0.000
5 O 0.500 0.500 0.500

* energy relative to the elements, uncorrected: 1.04 eV/atom
* V: 15.8 Å³ per atom
* magnetization: 0.00 μB/cell